1.
# DyHo2Ge4Pt4

A geometry-optimized DyHo2Ge4Pt4 structure (PBE, OQMD via LeMat-Bulk).

Cell and atoms, written as extended XYZ:
```
11
Lattice="-2.0887 3.5596 6.9500 2.0887 -3.5596 6.9500 2.0887 3.5596 -6.9500" Properties=species:S:1:pos:R:3 pbc="T T T"
Dy 0.0000 0.0000 0.0000
Ho 2.0887 0.0000 5.2089
Ho 0.0000 3.5596 1.7411
Ge 0.0000 0.0000 3.0484
Ge 2.0887 2.2287 0.0000
Ge 0.0000 1.3309 6.9500
Ge 0.0000 0.0000 10.8515
Pt 2.0887 1.4462 -2.4101
Pt 2.0887 1.4462 2.4101
Pt 0.0000 2.1134 4.5399
Pt 0.0000 2.1134 9.3601
```

Properties
As for the total energy: -6.119 eV per atom. The value obtained for the calculated volume is 18.79 Å³ per atom. The density is 12.559 g/cm3.

---

2.
# DyHoGe2Pt

A geometry-optimized DyHoGe2Pt structure (PBE, OQMD via LeMat-Bulk).

Cell and atoms, written as extended XYZ:
```
10
Lattice="5.2315 -2.1694 0.0000 5.2315 2.1694 0.0000 -4.7702 0.0000 9.2123" Properties=species:S:1:pos:R:3 pbc="T T T"
Dy -1.4656 0.0000 3.0225
Dy 7.1584 0.0000 6.1898
Ho 1.4255 0.0000 1.0485
Ho 4.2673 0.0000 8.1638
Ge 1.5939 0.0000 4.1206
Ge 4.4221 0.0000 1.0345
Ge 1.2707 0.0000 8.1778
Ge 4.0988 0.0000 5.0917
Pt -0.3223 0.0000 6.1373
Pt 6.0151 0.0000 3.0749
```

Properties
As for the total energy: -5.910 eV per atom. The value obtained for the calculated volume is 20.91 Å³ per atom. The density is 10.606 g/cm3.

---

3.
# DyHoGe2Pt4

A geometry-optimized DyHoGe2Pt4 structure (PBE, OQMD via LeMat-Bulk).

Cell and atoms, written as extended XYZ:
```
8
Lattice="4.3729 0.0000 0.0000 -2.1864 3.7870 0.0000 0.0000 0.0000 9.1069" Properties=species:S:1:pos:R:3 pbc="T T T"
Dy 0.0000 0.0000 0.0000
Ho 0.0000 2.5247 4.5534
Ge 2.1864 1.2623 2.2801
Ge 2.1864 1.2623 6.8267
Pt 0.0000 0.0000 3.0593
Pt 0.0000 0.0000 6.0476
Pt 0.0000 2.5247 1.5056
Pt 0.0000 2.5247 7.6012
```

Properties
As for the total energy: -6.310 eV per atom. The value obtained for the calculated volume is 18.85 Å³ per atom. The density is 13.797 g/cm3.

---

4.
# DyHoZr2Ge2

A geometry-optimized DyHoZr2Ge2 structure (PBE, OQMD via LeMat-Bulk).

Cell and atoms, written as extended XYZ:
```
6
Lattice="4.1845 0.0000 0.0000 0.0000 4.1845 0.0000 0.0000 0.0000 7.9143" Properties=species:S:1:pos:R:3 pbc="T T T"
Dy 0.0000 0.0000 0.0000
Ho 2.0923 2.0923 2.4072
Zr 0.0000 2.0923 5.1536
Zr 2.0923 0.0000 5.1536
Ge 0.0000 0.0000 3.0525
Ge 2.0923 2.0923 7.2572
```

Properties
As for the total energy: -6.627 eV per atom. The value obtained for the calculated volume is 23.10 Å³ per atom. The density is 7.850 g/cm3.

---

5.
# Pr2Dy2GeI5

A geometry-optimized Pr2Dy2GeI5 structure (PBE, OQMD via LeMat-Bulk).

Cell and atoms, written as extended XYZ:
```
10
Lattice="9.7314 -2.1471 0.0000 9.7314 2.1471 0.0000 -1.9640 0.0000 8.9602" Properties=species:S:1:pos:R:3 pbc="T T T"
Pr -0.5349 0.0000 2.5444
Pr 18.0337 0.0000 6.4158
Dy 6.0812 0.0000 3.8242
Dy 11.4177 0.0000 5.1360
Ge 8.7494 0.0000 4.4801
I 1.6749 0.0000 7.3662
I 2.7373 0.0000 3.1027
I 9.7314 0.0000 0.0000
I 14.7615 0.0000 5.8575
I 15.8240 0.0000 1.5940
```

Properties
As for the total energy: -4.336 eV per atom. The value obtained for the calculated volume is 37.44 Å³ per atom. The density is 5.827 g/cm3.

---

6.
# Dy2In3Ge2

A geometry-optimized Dy2In3Ge2 structure (PBE, OQMD via LeMat-Bulk).

Cell and atoms, written as extended XYZ:
```
7
Lattice="5.3817 -2.1603 0.0000 5.3817 2.1603 0.0000 -1.1060 0.0000 7.0382" Properties=species:S:1:pos:R:3 pbc="T T T"
Dy 0.9029 0.0000 2.2849
Dy 8.7544 0.0000 4.7534
In 1.1748 0.0000 6.0294
In 5.3817 0.0000 0.0000
In 8.4825 0.0000 1.0088
Ge 3.8787 0.0000 2.7054
Ge 5.7787 0.0000 4.3328
```

Properties
As for the total energy: -4.263 eV per atom. The value obtained for the calculated volume is 23.38 Å³ per atom. The density is 8.267 g/cm3.

---

7.
# DyTm2In3NiGe2

A geometry-optimized DyTm2In3NiGe2 structure (PBE, OQMD via LeMat-Bulk).

Cell and atoms, written as extended XYZ:
```
9
Lattice="4.2132 0.0000 0.0000 0.0000 6.3127 3.6351 0.0000 -6.3127 3.6351" Properties=species:S:1:pos:R:3 pbc="T T T"
Dy 0.0000 0.0000 0.0000
Tm 0.0000 -2.5420 2.8735
Tm 0.0000 2.5420 2.8735
In 2.1066 0.0000 2.5880
In 2.1066 -1.5153 5.2035
In 2.1066 1.5153 5.2035
Ni 0.0000 0.0000 4.3154
Ge 2.1066 -4.1920 4.3391
Ge 2.1066 4.1920 4.3391
```

Properties
As for the total energy: -4.642 eV per atom. The value obtained for the calculated volume is 21.48 Å³ per atom. The density is 9.007 g/cm3.

---

8.
# Dy4InGe4Os2

A geometry-optimized Dy4InGe4Os2 structure (PBE, OQMD via LeMat-Bulk).

Cell and atoms, written as extended XYZ:
```
11
Lattice="7.8796 -2.1496 0.0000 7.8796 2.1496 0.0000 -2.0234 0.0000 6.7229" Properties=species:S:1:pos:R:3 pbc="T T T"
Dy 0.6108 0.0000 2.6176
Dy 0.5145 0.0000 6.2742
Dy 13.2214 0.0000 0.4487
Dy 13.1251 0.0000 4.1053
In 7.8796 0.0000 0.0000
Ge 3.1975 0.0000 4.9691
Ge 6.1665 0.0000 2.2930
Ge 7.5694 0.0000 4.4299
Ge 10.5383 0.0000 1.7538
Os 3.6728 0.0000 2.4724
Os 10.0630 0.0000 4.2505
```

Properties
As for the total energy: -6.321 eV per atom. The value obtained for the calculated volume is 20.70 Å³ per atom. The density is 10.469 g/cm3.

---

9.
# Dy3InGe2PdPt2

A geometry-optimized Dy3InGe2PdPt2 structure (PBE, OQMD via LeMat-Bulk).

Cell and atoms, written as extended XYZ:
```
9
Lattice="3.8710 0.0000 0.0000 0.0000 6.3975 3.7071 0.0000 -6.3975 3.7071" Properties=species:S:1:pos:R:3 pbc="T T T"
Dy 0.0000 0.0000 0.0000
Dy 0.0000 -2.6522 2.9041
Dy 0.0000 2.6522 2.9041
In 1.9355 0.0000 2.5532
Ge 1.9355 -1.6651 5.3532
Ge 1.9355 1.6651 5.3532
Pd 0.0000 0.0000 4.5642
Pt 1.9355 -4.2410 4.3914
Pt 1.9355 4.2410 4.3914
```

Properties
As for the total energy: -5.782 eV per atom. The value obtained for the calculated volume is 20.40 Å³ per atom. The density is 11.252 g/cm3.

---

10.
# Dy3In2GePdPt2

A geometry-optimized Dy3In2GePdPt2 structure (PBE, OQMD via LeMat-Bulk).

Cell and atoms, written as extended XYZ:
```
9
Lattice="3.8041 0.0000 0.0000 0.0000 6.5789 3.8093 0.0000 -6.5789 3.8093" Properties=species:S:1:pos:R:3 pbc="T T T"
Dy 0.0000 0.0000 0.0000
Dy 0.0000 -2.6654 2.8275
Dy 0.0000 2.6654 2.8275
In 1.9020 -1.6563 5.4052
In 1.9020 1.6563 5.4052
Ge 1.9020 0.0000 2.3850
Pd 0.0000 0.0000 4.1669
Pt 1.9020 -4.3950 4.4297
Pt 1.9020 4.3950 4.4297
```

Properties
As for the total energy: -5.562 eV per atom. The value obtained for the calculated volume is 21.19 Å³ per atom. The density is 11.203 g/cm3.

---

11.
# DyGeIr

A geometry-optimized DyGeIr structure (PBE, OQMD via LeMat-Bulk).

Cell and atoms, written as extended XYZ:
```
3
Lattice="0.0000 3.1881 3.1881 3.1881 0.0000 3.1881 3.1881 3.1881 0.0000" Properties=species:S:1:pos:R:3 pbc="T T T"
Dy 0.0000 0.0000 0.0000
Ge 3.1881 3.1881 3.1881
Ir 4.7822 4.7822 4.7822
```

Properties
As for the total energy: -6.619 eV per atom. The value obtained for the calculated volume is 21.60 Å³ per atom. The density is 10.950 g/cm3.

---

12.
# DyGeIr

A geometry-optimized DyGeIr structure (PBE, OQMD via LeMat-Bulk).

Cell and atoms, written as extended XYZ:
```
3
Lattice="0.0000 3.2702 3.2702 3.2702 0.0000 3.2702 3.2702 3.2702 0.0000" Properties=species:S:1:pos:R:3 pbc="T T T"
Dy 0.0000 0.0000 0.0000
Ge 4.9054 4.9054 4.9054
Ir 1.6351 1.6351 1.6351
```

Properties
As for the total energy: -5.909 eV per atom. The value obtained for the calculated volume is 23.32 Å³ per atom. The density is 10.145 g/cm3.